5
Lattice="5.3624 0.0000 0.0000 0.0000 5.3624 0.0000 0.0000 0.0000 5.3474" Properties=species:S:1:pos:R:3 comment="PBE ScTl2PbW, optimized geometry" e_form_ev_per_atom=0.91 spacegroup=P4/mmm dos_at_fermi_per_ev_fu=8.1 pbc="T T T"
Sc 0.0000 0.0000 0.0000
Tl 0.0000 2.6812 2.6737
Tl 2.6812 0.0000 2.6737
Pb 2.6812 2.6812 0.0000
W 2.6812 2.6812 2.6737